(1)
## LiHg2Pd2 (GGA-PBEsol)

Data for an optimized crystal structure of LiHg2Pd2.

Cell: 7.8218 7.8218 3.0133 Å, 90.00 90.00 90.00°
With the nearest neighbours (Å) after each atom.
Fractional coordinates of all 10 atoms:
Li  0.0000  0.0000  0.0000  4 Hg 2.91, 2 Li 3.01
Li  0.5000  0.5000  0.0000  4 Hg 2.91, 2 Li 3.01
Hg  0.1669  0.3331  0.0000  6 Pd 2.70-2.78, 2 Li 2.91, 2 Hg 3.01
Hg  0.3331  0.8331  0.0000  6 Pd 2.70-2.78, 2 Li 2.91, 2 Hg 3.01
Hg  0.6669  0.1669  0.0000  6 Pd 2.70-2.78, 2 Li 2.91, 2 Hg 3.01
Hg  0.8331  0.6669  0.0000  6 Pd 2.70-2.78, 2 Li 2.91, 2 Hg 3.01
Pd  0.1301  0.6301  0.5000  6 Hg 2.70-2.78, 3 Pd 2.88-3.01
Pd  0.3699  0.1301  0.5000  6 Hg 2.70-2.78, 3 Pd 2.88-3.01
Pd  0.6301  0.8699  0.5000  6 Hg 2.70-2.78, 3 Pd 2.88-3.01
Pd  0.8699  0.3699  0.5000  6 Hg 2.70-2.78, 3 Pd 2.88-3.01

Output
energy of formation from the pure elements: -0.252 eV per atom
space group: No. 127
V: 184.4 Å³ per cell
magnetic moment: 0.000 Bohr magnetons per cell



(2)
## LiHg3Pd (GGA-PBEsol)

Data for an optimized crystal structure of LiHg3Pd.

Cell: 4.6566 4.6566 4.6566 Å, 90.00 90.00 90.00°
With the nearest neighbours (Å) after each atom.
Fractional coordinates of all 5 atoms:
Li  0.0000  0.0000  0.0000  6 Hg 2.33
Hg  0.0000  0.0000  0.5000  2 Li 2.33
Hg  0.0000  0.5000  0.0000  2 Li 2.33
Hg  0.5000  0.0000  0.0000  2 Li 2.33
Pd  0.5000  0.5000  0.5000  12 Hg 3.29

Output
energy of formation from the pure elements: 0.345 eV per atom
space group: No. 221
V: 101.0 Å³ per cell
magnetic moment: 0.000 Bohr magnetons per cell



(3)
## LiPrHg2 (GGA-PBEsol)

Data for an optimized crystal structure of LiPrHg2.

Cell: 5.0841 5.0841 5.0841 Å, 60.00 60.00 60.00°
With the nearest neighbours (Å) after each atom.
Fractional coordinates of all 4 atoms:
Li  0.0000  0.0000  0.0000  8 Hg 3.11
Pr  0.5000  0.5000  0.5000  8 Hg 3.11
Hg  0.2500  0.2500  0.2500  4 Pr 3.11, 4 Li 3.11
Hg  0.7500  0.7500  0.7500  4 Pr 3.11, 4 Li 3.11

Output
energy of formation from the pure elements: -0.524 eV per atom
space group: No. 225
V: 92.9 Å³ per cell
magnetic moment: 0.000 Bohr magnetons per cell